[1]
A plane-wave DFT calculation with PBE was carried out for a relaxed structure of YTiBI2.

Output
* density of states at the Fermi level: 4.255 states/eV/cell
* space-group type: No. 123
* crystal system: tetragonal

a = 5.5649 Å, b = 5.5649 Å, c = 4.0943 Å
α = 90.00°, β = 90.00°, γ = 90.00°
Last column: nearest neighbours and their distance in Å.
Fractional positions:
Y (0.0000, 0.0000, 0.0000)  8 I 3.45
Ti (0.5000, 0.5000, 0.5000)  2 B 2.05
B (0.5000, 0.5000, 0.0000)  2 Ti 2.05
I (0.0000, 0.5000, 0.5000)  2 Ti 2.78
I (0.5000, 0.0000, 0.5000)  2 Ti 2.78

---

[2]
A plane-wave DFT calculation with PBE was carried out for a relaxed structure of Ta2NbIr3.

Output
* density of states at the Fermi level: 8.675 states/eV/cell
* energy of formation from the pure elements: -0.578 eV/atom
* space-group type: No. 74
* crystal system: orthorhombic

a = 7.5345 Å, b = 7.5345 Å, c = 7.5345 Å
α = 148.45°, β = 118.43°, γ = 70.83°
Last column: nearest neighbours and their distance in Å.
Fractional positions:
Ta (0.0900, 0.3400, 0.7500)  8 Ir 2.74-2.81, 4 Ta 2.95-3.01
Ta (0.2628, 0.0128, 0.2500)  8 Ir 2.77-2.86, 2 Nb 2.84, 2 Ta 2.95
Ta (0.7372, 0.9872, 0.7500)  8 Ir 2.77-2.86, 2 Nb 2.84, 2 Ta 2.95
Ta (0.9100, 0.6600, 0.2500)  8 Ir 2.74-2.81, 4 Ta 2.95-3.01
Nb (0.4228, 0.6728, 0.7500)  2 Nb 2.79, 8 Ir 2.83-2.89, 2 Ta 2.84
Nb (0.5772, 0.3272, 0.2500)  2 Nb 2.79, 8 Ir 2.83-2.89, 2 Ta 2.84
Ir (0.0000, 0.5000, 0.5000)  6 Ta 2.75-2.82, 2 Nb 2.87, 4 Ir 2.89
Ir (0.1529, 0.1663, 0.9866)  5 Ta 2.74-2.86, 3 Nb 2.83-2.89, 4 Ir 2.89-2.90
Ir (0.3203, 0.8337, 0.4866)  5 Ta 2.74-2.86, 3 Nb 2.83-2.89, 4 Ir 2.89-2.90
Ir (0.5000, 0.5000, 0.0000)  6 Ta 2.75-2.82, 2 Nb 2.87, 4 Ir 2.89
Ir (0.6797, 0.1663, 0.5134)  5 Ta 2.74-2.86, 3 Nb 2.83-2.89, 4 Ir 2.89-2.90
Ir (0.8471, 0.8337, 0.0134)  5 Ta 2.74-2.86, 3 Nb 2.83-2.89, 4 Ir 2.89-2.90

---

[3]
A plane-wave DFT calculation with PBE was carried out for a relaxed structure of Sm2DyPb9.

Output
* density of states at the Fermi level: 6.122 states/eV/cell
* energy of formation from the pure elements: -0.322 eV/atom
* space-group type: No. 123
* crystal system: tetragonal

a = 4.8999 Å, b = 4.8999 Å, c = 14.6922 Å
α = 90.00°, β = 90.00°, γ = 90.00°
Last column: nearest neighbours and their distance in Å.
Fractional positions:
Sm (0.0000, 0.0000, 0.1672)  12 Pb 3.46-3.48
Sm (0.0000, 0.0000, 0.8328)  12 Pb 3.46-3.48
Dy (0.0000, 0.0000, 0.5000)  12 Pb 3.44-3.46
Pb (0.0000, 0.5000, 0.0000)  8 Pb 3.46-3.48, 4 Sm 3.47
Pb (0.0000, 0.5000, 0.3356)  8 Pb 3.44-3.48, 2 Dy 3.44, 2 Sm 3.48
Pb (0.0000, 0.5000, 0.6644)  8 Pb 3.44-3.48, 2 Dy 3.44, 2 Sm 3.48
Pb (0.5000, 0.0000, 0.0000)  8 Pb 3.46-3.48, 4 Sm 3.47
Pb (0.5000, 0.0000, 0.3356)  8 Pb 3.44-3.48, 2 Dy 3.44, 2 Sm 3.48
Pb (0.5000, 0.0000, 0.6644)  8 Pb 3.44-3.48, 2 Dy 3.44, 2 Sm 3.48
Pb (0.5000, 0.5000, 0.1678)  4 Sm 3.46, 8 Pb 3.48
Pb (0.5000, 0.5000, 0.5000)  8 Pb 3.44, 4 Dy 3.46
Pb (0.5000, 0.5000, 0.8322)  4 Sm 3.46, 8 Pb 3.48

---

[4]
A plane-wave DFT calculation with PBE was carried out for a relaxed structure of Hg5Sb2Pb12.

Output
* density of states at the Fermi level: 7.878 states/eV/cell
* space-group type: No. 12
* crystal system: monoclinic

a = 9.4536 Å, b = 9.4536 Å, c = 7.3212 Å
α = 92.37°, β = 92.37°, γ = 63.04°
Last column: nearest neighbours and their distance in Å.
Fractional positions:
Hg (0.0000, 0.0000, 0.0000)  6 Pb 3.21-3.56
Hg (0.2391, 0.2391, 0.0049)  9 Pb 3.37-3.57, 1 Hg 3.42
Hg (0.3315, 0.3315, 0.5940)  9 Pb 3.30-3.56, 1 Hg 3.42
Hg (0.6685, 0.6685, 0.4060)  9 Pb 3.30-3.56, 1 Hg 3.42
Hg (0.7609, 0.7609, 0.9951)  9 Pb 3.37-3.57, 1 Hg 3.42
Sb (0.2327, 0.7673, 0.5000)  8 Pb 3.28-3.42
Sb (0.7673, 0.2327, 0.5000)  8 Pb 3.28-3.42
Pb (0.0539, 0.5553, 0.2984)  4 Hg 3.30-3.42, 5 Pb 3.41-3.54, 1 Sb 3.42
Pb (0.1350, 0.1350, 0.3988)  2 Sb 3.28, 3 Hg 3.41-3.56, 4 Pb 3.42-3.44
Pb (0.1678, 0.6290, 0.8921)  4 Hg 3.21-3.57, 1 Sb 3.39, 6 Pb 3.41-3.57
Pb (0.3710, 0.8322, 0.1079)  4 Hg 3.21-3.57, 1 Sb 3.39, 6 Pb 3.41-3.57
Pb (0.4447, 0.9461, 0.7016)  4 Hg 3.30-3.42, 5 Pb 3.41-3.54, 1 Sb 3.42
Pb (0.4576, 0.4576, 0.2394)  2 Sb 3.31, 2 Hg 3.37-3.56, 6 Pb 3.42-3.54
Pb (0.5424, 0.5424, 0.7606)  2 Sb 3.31, 2 Hg 3.37-3.56, 6 Pb 3.42-3.54
Pb (0.5553, 0.0539, 0.2984)  4 Hg 3.30-3.42, 5 Pb 3.41-3.54, 1 Sb 3.42
Pb (0.6290, 0.1678, 0.8921)  4 Hg 3.21-3.57, 1 Sb 3.39, 6 Pb 3.41-3.57
Pb (0.8322, 0.3710, 0.1079)  4 Hg 3.21-3.57, 1 Sb 3.39, 6 Pb 3.41-3.57
Pb (0.8650, 0.8650, 0.6012)  2 Sb 3.28, 3 Hg 3.41-3.56, 4 Pb 3.42-3.44
Pb (0.9461, 0.4447, 0.7016)  4 Hg 3.30-3.42, 5 Pb 3.41-3.54, 1 Sb 3.42

---

[5]
A plane-wave DFT calculation with PBE was carried out for a relaxed structure of Hf2InTe4.

Output
* density of states at the Fermi level: 2.965 states/eV/cell
* space-group type: No. 10
* crystal system: monoclinic

a = 6.9068 Å, b = 4.0060 Å, c = 8.6917 Å
α = 90.00°, β = 105.00°, γ = 90.00°
Last column: nearest neighbours and their distance in Å.
Fractional positions:
Hf (0.0000, 0.0000, 0.0000)  6 Te 2.91-2.92
Hf (0.5000, 0.5000, 0.0000)  6 Te 2.90-2.91
In (0.0000, 0.5000, 0.5000)  6 Te 3.34-3.36
Te (0.2362, 0.5000, 0.2104)  3 Hf 2.90-2.91
Te (0.2663, 0.0000, 0.7885)  3 Hf 2.91-2.92
Te (0.7337, 0.0000, 0.2115)  3 Hf 2.91-2.92
Te (0.7638, 0.5000, 0.7896)  3 Hf 2.90-2.91

---

[6]
A plane-wave DFT calculation with PBE was carried out for a relaxed structure of BaNaPN2.

Output
* density of states at the Fermi level: 5.260 states/eV/cell
* space-group type: No. 13
* crystal system: monoclinic

a = 6.0433 Å, b = 4.5899 Å, c = 7.2708 Å
α = 90.00°, β = 102.63°, γ = 90.00°
Last column: nearest neighbours and their distance in Å.
Fractional positions:
Ba (0.0000, 0.2502, 0.2500)  6 N 2.95-3.20, 2 Na 3.27
Ba (0.0000, 0.7498, 0.7500)  6 N 2.95-3.20, 2 Na 3.27
Na (0.5000, 0.0241, 0.7500)  4 N 2.57-2.61, 2 P 2.84
Na (0.5000, 0.9759, 0.2500)  4 N 2.57-2.61, 2 P 2.84
P (0.5000, 0.5000, 0.0000)  2 N 1.62
P (0.5000, 0.5000, 0.5000)  2 N 1.62
N (0.2818, 0.2859, 0.9670)  1 P 1.62
N (0.2818, 0.7141, 0.4670)  1 P 1.62
N (0.7182, 0.2859, 0.5330)  1 P 1.62
N (0.7182, 0.7141, 0.0330)  1 P 1.62

---

no.,calculated total energy (eV per atom)
1,-4.51
2,-10.64
3,-4.27
4,-2.81
5,-5.70
6,-5.22